No. 1
Material: TeMoPtI2
Method: DFT, PBEsol
State: relaxed

Cell: 5.325 5.325 5.312 Å, 90.00 90.00 90.00°
Space group P4/mmm (No. 123)
Asymmetric unit:
Te (0.000, 0.000, 0.000) x1
Mo (0.500, 0.500, 0.000) x1
Pt (0.000, 0.000, 0.500) x1
I (0.000, 0.500, 0.500) x2

Output
E_tot ... -4.12 eV/atom
Uncorrected formation energy ... 5.18 eV per formula unit
Theoretical density ... 7.41 g/cm3

***

No. 2
Material: Ir2PtBr
Method: DFT, PBEsol
State: relaxed

Cell: 2.740 4.727 4.824 Å, 90.00 90.00 90.00°
Space group Pmmm (No. 47)
Asymmetric unit:
Ir (0.000, 0.000, 0.000) x1
Ir (0.500, 0.000, 0.500) x1
Pt (0.000, 0.500, 0.500) x1
Br (0.500, 0.500, 0.000) x1

Output
Energy relative to the lowest polymorph listed for this composition ... 265.2 meV per atom
E_tot ... -6.26 eV/atom
Uncorrected formation energy ... 3.45 eV per formula unit
Theoretical density ... 17.53 g/cm3

***

No. 3
Material: TiCdAs2Br
Method: DFT, PBEsol
State: relaxed

Cell: 4.905 4.905 4.957 Å, 90.00 90.00 90.00°
Space group P4/mmm (No. 123)
Asymmetric unit:
Ti (0.000, 0.000, 0.000) x1
Cd (0.500, 0.500, 0.500) x1
As (0.000, 0.500, 0.000) x2
Br (0.000, 0.000, 0.500) x1

Output
E_tot ... -4.35 eV/atom
Uncorrected formation energy ... -0.16 eV per formula unit
Theoretical density ... 5.43 g/cm3

***

No. 4
Material: CdIn
Method: DFT, PBEsol
State: relaxed

Cell: 11.736 3.272 7.606 Å, 90.00 106.53 90.00°
Space group Cm (No. 8)
Asymmetric unit:
Cd (0.000, 0.000, 0.000) x2
Cd (0.110, 0.500, 0.748) x2
Cd (0.287, 0.000, 0.058) x2
In (0.173, 0.500, 0.322) x2
In (0.326, 0.000, 0.672) x2
In (0.457, 0.500, 0.402) x2

Output
E_tot ... -2.05 eV/atom
Theoretical density ... 8.09 g/cm3
Energy relative to the elements ... 0.089 eV/f.u.

***

No. 5
Material: Ni2Pt
Method: DFT, PBEsol
State: relaxed

Cell: 2.630 3.562 7.732 Å, 90.00 90.00 90.00°
Space group Immm (No. 71)
Asymmetric unit:
Ni (0.000, 0.000, 0.170) x4
Pt (0.000, 0.000, 0.500) x2

Output
E_tot ... -6.49 eV/atom
Theoretical density ... 14.33 g/cm3
Energy relative to the elements ... -0.181 eV/f.u.

***

No. 6
Material: Y2PdAu2
Method: DFT, PBEsol
State: relaxed

Cell: 7.501 7.501 3.791 Å, 90.00 90.00 90.00°
Space group P4/mbm (No. 127)
Asymmetric unit:
Y (0.173, 0.327, 0.000) x4
Pd (0.000, 0.000, 0.500) x2
Au (0.131, 0.631, 0.500) x4

Output
Energy relative to the lowest polymorph listed for this composition ... 0.0 meV per atom
E_tot ... -6.28 eV/atom
Theoretical density ... 10.56 g/cm3
Energy relative to the elements ... -3.930 eV/f.u.

***

What are the V values for these records? In order: 151 62 119 280 72 213 Å³/cell.